Density functional theory data (SCAN) for a crystal of Ga2BiSe relaxed with PBEsol.

Lattice parameters (Å, degrees): 7.0800 7.0800 7.0800 90.00 90.00 90.00
Atoms (fractional coordinates):
Ga1 0.2500 0.2500 0.2500
Ga2 0.2500 0.2500 0.7500
Ga3 0.2500 0.7500 0.2500
Ga4 0.2500 0.7500 0.7500
Ga5 0.7500 0.2500 0.2500
Ga6 0.7500 0.2500 0.7500
Ga7 0.7500 0.7500 0.2500
Ga8 0.7500 0.7500 0.7500
Bi1 0.0000 0.0000 0.0000
Bi2 0.0000 0.5000 0.5000
Bi3 0.5000 0.0000 0.5000
Bi4 0.5000 0.5000 0.0000
Se1 0.0000 0.0000 0.5000
Se2 0.0000 0.5000 0.0000
Se3 0.5000 0.0000 0.0000
Se4 0.5000 0.5000 0.5000

The total energy is -32.63 eV per atom. The formation energy (no corrections) is 0.205 eV/atom. For the density of states at the Fermi level, the calculation gives 0.507 states/eV/atom. As for the space group: Fm-3m (225). The value obtained for the volume is 22.18 A^3/atom. The value obtained for the mass density is 8.00 g/cm³.

Density functional theory data (SCAN) for a crystal of GaBi2Se2 relaxed with PBEsol.

Lattice parameters (Å, degrees): 8.1852 8.1852 3.8304 90.00 90.00 90.00
Atoms (fractional coordinates):
Ga1 0.0000 0.0000 0.0000
Ga2 0.5000 0.5000 0.0000
Bi1 0.1638 0.3362 0.5000
Bi2 0.3362 0.8362 0.5000
Bi3 0.6638 0.1638 0.5000
Bi4 0.8362 0.6638 0.5000
Se1 0.1520 0.6520 0.0000
Se2 0.3480 0.1520 0.0000
Se3 0.6520 0.8480 0.0000
Se4 0.8480 0.3480 0.0000

The total energy is -42.60 eV per atom. The formation energy (no corrections) is 0.131 eV/atom. For the density of states at the Fermi level, the calculation gives 0.496 states/eV/atom. As for the space group: P4/mbm (127). The value obtained for the volume is 25.66 A^3/atom. The value obtained for the mass density is 8.35 g/cm³.